[1]
TbPaBr6 after structural relaxation, computed with PBE.

ΔE_f (raw) ... -1.540 eV per atom
Calculated total energy ... -4.56 eV/atom

a b c (Å): 7.6610 7.6610 7.0499
angles (deg): 98.60 98.60 125.23
Element x y z (fractional)
Tb  0.0000  0.0000  0.0000
Pa  0.5000  0.5000  0.5000
Br  0.2495  0.2495  0.7518
Br  0.3927  0.0980  0.2464
Br  0.7505  0.7505  0.2482
Br  0.9020  0.6073  0.7536
Br  0.6073  0.9020  0.7536
Br  0.0980  0.3927  0.2464



[2]
CeTiBeIr2 after structural relaxation, computed with PBE.

Formation energy ... -0.64 eV/atom
Calculated total energy ... -7.69 eV/atom

a b c (Å): 3.8659 3.8659 6.4895
angles (deg): 107.33 107.33 90.00
Element x y z (fractional)
Ce  0.0000  0.0000  0.0000
Ti  0.2500  0.7500  0.5000
Be  0.7500  0.2500  0.5000
Ir  0.6166  0.6166  0.2332
Ir  0.3834  0.3834  0.7668



[3]
Ce2ThCu4 after structural relaxation, computed with PBE.

Formation energy ... -0.06 eV/atom
Calculated total energy ... -5.16 eV/atom

a b c (Å): 4.3607 5.5055 7.3885
angles (deg): 60.45 90.00 113.33
Element x y z (fractional)
Cu  0.8859  0.7718  0.1953
Cu  0.1141  0.2282  0.8047
Cu  0.6721  0.3443  0.5836
Cu  0.3279  0.6557  0.4164
Th  0.0000  0.0000  0.5000
Ce  0.6504  0.3009  0.0432
Ce  0.3496  0.6991  0.9568



[4]
RbNa2PuBr6 after structural relaxation, computed with PBE.

ΔE_f (raw) ... -1.579 eV per atom
Calculated total energy ... -4.38 eV/atom

a b c (Å): 7.6874 7.6872 8.3612
angles (deg): 62.63 62.62 59.98
Element x y z (fractional)
Rb  0.8034  0.8035  0.5894
Na  0.5189  0.5189  0.4434
Na  0.0038  0.0038  0.9887
Pu  0.3258  0.3258  0.0225
Br  0.5818  0.2476  0.2351
Br  0.2474  0.9355  0.2353
Br  0.9354  0.5820  0.2352
Br  0.3484  0.7271  0.7552
Br  0.7272  0.1691  0.7552
Br  0.1694  0.3483  0.7552



[5]
SmHo2PaSe4 after structural relaxation, computed with PBE.

ΔE_f (raw) ... -1.600 eV per atom
Calculated total energy ... -6.26 eV/atom

a b c (Å): 4.0314 7.1744 7.0460
angles (deg): 71.26 90.00 90.00
Element x y z (fractional)
Sm  0.5000  0.5000  0.0000
Ho  0.0000  0.0000  0.0000
Ho  0.5000  0.0000  0.5000
Pa  0.0000  0.5000  0.5000
Se  0.0000  0.7591  0.7445
Se  0.0000  0.2409  0.2555
Se  0.5000  0.7577  0.2493
Se  0.5000  0.2423  0.7507



[6]
NaCaInTe3 after structural relaxation, computed with PBE.

ΔE_f (raw) ... -0.861 eV per atom
Calculated total energy ... -3.44 eV/atom

a b c (Å): 4.4922 8.9653 11.9844
angles (deg): 107.33 90.00 90.00
Element x y z (fractional)
Na  0.2500  0.2265  0.1660
Na  0.7500  0.7735  0.8340
Ca  0.2500  0.6719  0.1078
Ca  0.7500  0.3281  0.8922
In  0.2500  0.0751  0.6300
In  0.7500  0.9249  0.3700
Te  0.7500  0.9499  0.1466
Te  0.2500  0.0501  0.8534
Te  0.2500  0.7745  0.4450
Te  0.7500  0.2255  0.5550
Te  0.7500  0.4646  0.1628
Te  0.2500  0.5354  0.8372